Record 1
Here is an optimized crystal structure of Na2HPdPb from Alexandria. Energies are from PBE-GGA.

M_tot: 0.0 μB/f.u.
ΔE to the lowest computed polymorph: 0.393 eV/f.u.
DOS(E_F): 0.3694 states/eV per atom

Cell lengths 4.329, 4.329, 4.996 Å; angles 90.00, 90.00, 90.00 degrees
Fractional positions:
Pb (0.000, 0.000, 0.500)
Na (0.000, 0.500, 0.000)
Na (0.500, 0.000, 0.000)
Pd (0.500, 0.500, 0.500)
H (0.000, 0.000, 0.000)

---

Record 2
Here is an optimized crystal structure of CoSb2TeAu from Alexandria. Energies are from PBE-GGA.

M_tot: 0.0 μB/f.u.
ΔE to the lowest computed polymorph: 0.000 eV/f.u.
DOS(E_F): 0.7607 states/eV per atom

Cell lengths 4.803, 4.803, 5.316 Å; angles 90.00, 90.00, 90.00 degrees
Fractional positions:
Sb (0.000, 0.500, 0.000)
Sb (0.500, 0.000, 0.000)
Te (0.000, 0.000, 0.500)
Au (0.500, 0.500, 0.500)
Co (0.000, 0.000, 0.000)

---

Record 3
Here is an optimized crystal structure of YSb2 from Alexandria. Energies are from PBE-GGA.

total DFT energy (no corrections): -15.8 eV/f.u.
M_tot: 0.0 μB/f.u.
DOS(E_F): 0.6759 states/eV per atom

Cell lengths 6.842, 6.842, 8.587 Å; angles 74.82, 74.82, 28.39 degrees
Fractional positions:
Y (0.374, 0.374, 0.499)
Y (0.626, 0.626, 0.501)
Sb (0.729, 0.729, 0.794)
Sb (0.042, 0.042, 0.218)
Sb (0.958, 0.958, 0.782)
Sb (0.271, 0.271, 0.206)

---

Record 4
Here is an optimized crystal structure of CsGeIN2 from Alexandria. Energies are from PBE-GGA.

M_tot: 1.2 μB/f.u.
ΔE to the lowest computed polymorph: 5.243 eV/f.u.
DOS(E_F): 0.6477 states/eV per atom

Cell lengths 4.577, 4.577, 7.058 Å; angles 90.00, 90.00, 90.00 degrees
Fractional positions:
Cs (0.000, 0.000, 0.000)
I (0.000, 0.000, 0.500)
Ge (0.500, 0.500, 0.500)
N (0.000, 0.500, 0.000)
N (0.500, 0.000, 0.000)

---

Record 5
Here is an optimized crystal structure of Sm2HoAl2 from Alexandria. Energies are from PBE-GGA.

M_tot: 0.0 μB/f.u.
ΔE to the lowest computed polymorph: 0.000 eV/f.u.
E_form: -0.31 eV per atom
DOS(E_F): 0.9332 states/eV per atom

Cell lengths 4.876, 5.805, 5.805 Å; angles 71.07, 65.17, 65.17 degrees
Fractional positions:
Sm (0.803, 0.697, 0.697)
Sm (0.197, 0.303, 0.303)
Ho (0.000, 0.000, 0.000)
Al (0.500, 0.698, 0.302)
Al (0.500, 0.302, 0.698)

---

Record 6
Here is an optimized crystal structure of Rb3NbH4C6O15 from Alexandria. Energies are from PBE-GGA.

total DFT energy (no corrections): -198.6 eV/f.u.
M_tot: 0.0 μB/f.u.
DOS(E_F): 0.0000 states/eV per atom

Cell lengths 8.083, 9.177, 11.743 Å; angles 78.82, 87.35, 86.09 degrees
Fractional positions:
Rb (0.384, 0.035, 0.151)
Rb (0.853, 0.669, 0.570)
Rb (0.987, 0.756, 0.130)
Rb (0.616, 0.965, 0.849)
Rb (0.013, 0.244, 0.870)
Rb (0.147, 0.331, 0.430)
Nb (0.680, 0.372, 0.332)
Nb (0.320, 0.628, 0.668)
H (0.830, 0.594, 0.907)
H (0.033, 0.061, 0.634)
H (0.747, 0.502, 0.016)
H (0.170, 0.406, 0.093)
H (0.967, 0.939, 0.366)
H (0.220, 0.094, 0.647)
H (0.780, 0.906, 0.353)
H (0.253, 0.498, 0.984)
C (0.552, 0.151, 0.538)
C (0.739, 0.105, 0.530)
C (0.575, 0.380, 0.756)
C (0.261, 0.895, 0.470)
C (0.448, 0.849, 0.462)
C (0.575, 0.652, 0.158)
C (0.065, 0.752, 0.830)
C (0.425, 0.348, 0.842)
C (0.772, 0.180, 0.147)
C (0.228, 0.820, 0.853)
C (0.425, 0.620, 0.244)
C (0.935, 0.248, 0.170)
O (0.105, 0.129, 0.660)
O (0.416, 0.230, 0.913)
O (0.353, 0.781, 0.790)
O (0.788, 0.494, 0.937)
O (0.542, 0.911, 0.384)
O (0.081, 0.662, 0.756)
O (0.230, 0.902, 0.925)
O (0.304, 0.710, 0.245)
O (0.696, 0.290, 0.755)
O (0.220, 0.514, 0.591)
O (0.584, 0.770, 0.087)
O (0.312, 0.458, 0.829)
O (0.919, 0.338, 0.244)
O (0.931, 0.780, 0.881)
O (0.494, 0.739, 0.545)
O (0.556, 0.508, 0.686)
O (0.812, 0.179, 0.438)
O (0.506, 0.261, 0.455)
O (0.188, 0.821, 0.562)
O (0.458, 0.089, 0.616)
O (0.780, 0.486, 0.409)
O (0.195, 0.994, 0.396)
O (0.212, 0.506, 0.063)
O (0.770, 0.098, 0.075)
O (0.895, 0.871, 0.340)
O (0.688, 0.542, 0.171)
O (0.444, 0.492, 0.314)
O (0.069, 0.220, 0.119)
O (0.805, 0.006, 0.604)
O (0.647, 0.219, 0.210)